Density functional theory data (PBE with a Hubbard U) for BeCrO4 after structural relaxation.

calculated volume	385	Å³ per cell
relative energy among the computed polymorphs	1	meV per atom
total magnetic moment	0.00	μB per cell
DOS at the Fermi energy	0.0000	states/eV/atom

Cell and atoms, written as CIF:
```
data_BeCrO4
_cell_length_a 5.064
_cell_length_b 9.050
_cell_length_c 9.752
_cell_angle_alpha 90.00
_cell_angle_beta 120.58
_cell_angle_gamma 90.00
_symmetry_space_group_name_H-M 'P 1'
_symmetry_Int_Tables_number 1
_symmetry_space_group_name_Hall 'P 1'
loop_
_atom_site_label
_atom_site_fract_x
_atom_site_fract_y
_atom_site_fract_z
Be1 0.230 0.173 0.320
Be2 0.230 0.327 0.820
Be3 0.770 0.673 0.180
Be4 0.770 0.827 0.680
Cr1 0.397 0.653 0.802
Cr2 0.397 0.847 0.302
Cr3 0.603 0.153 0.698
Cr4 0.603 0.347 0.198
O1 0.122 0.731 0.277
O2 0.122 0.769 0.777
O3 0.253 0.016 0.245
O4 0.253 0.484 0.745
O5 0.332 0.151 0.507
O6 0.332 0.349 0.007
O7 0.454 0.207 0.808
O8 0.454 0.293 0.308
O9 0.546 0.707 0.692
O10 0.546 0.793 0.192
O11 0.668 0.651 0.993
O12 0.668 0.849 0.493
O13 0.747 0.516 0.255
O14 0.747 0.984 0.755
O15 0.878 0.231 0.223
O16 0.878 0.269 0.723
```